Record 1
NiC2S2N2 after structural relaxation. Source: Alexandria via LeMat-Bulk, functional GGA-PBE.

## Properties
Crystal system: monoclinic

Cell lengths 10.4189, 3.7001, 6.5130 Å; angles 90.00, 105.13, 90.00 degrees
Space group C2/m (No. 12)
One atom of each set of equivalent atoms:
Ni: 0.0000 0.0000 0.0000 x2
C: 0.2372 0.0000 0.8021 x4
S: 0.1153 0.5000 0.2443 x4
N: 0.1338 0.0000 0.8441 x4

Record 2
NiCS2N after structural relaxation. Source: Alexandria via LeMat-Bulk, functional GGA-PBE.

## Properties
Crystal system: tetragonal
Offset from the most stable computed form in meV per atom: 0

Cell lengths 5.3349, 5.3349, 2.4255 Å; angles 90.00, 90.00, 90.00 degrees
Space group P4/mmm (No. 123)
One atom of each set of equivalent atoms:
Ni: 0.0000 0.0000 0.0000 x1
C: 0.5000 0.5000 0.5000 x1
S: 0.0000 0.5000 0.5000 x2
N: 0.5000 0.5000 0.0000 x1

Record 3
NiC2S2N6 after structural relaxation. Source: Alexandria via LeMat-Bulk, functional GGA-PBE.

## Properties
Crystal system: monoclinic

Cell lengths 11.8551, 5.6441, 6.9758 Å; angles 90.00, 119.94, 90.00 degrees
Space group C2/m (No. 12)
One atom of each set of equivalent atoms:
Ni: 0.0000 0.0000 0.0000 x2
C: 0.1966 0.5000 0.7728 x4
S: 0.0605 0.5000 0.8083 x4
N: 0.0326 0.2469 0.8196 x8
N: 0.1979 0.0000 0.2009 x4

Record 4
Ni2SbCN after structural relaxation. Source: Alexandria via LeMat-Bulk, functional GGA-PBE.

## Properties
Crystal system: tetragonal

Cell lengths 3.5692, 3.5692, 5.2119 Å; angles 90.00, 90.00, 90.00 degrees
Space group P4/mmm (No. 123)
One atom of each set of equivalent atoms:
Ni: 0.0000 0.5000 0.0000 x2
Sb: 0.0000 0.0000 0.5000 x1
C: 0.5000 0.5000 0.5000 x1
N: 0.0000 0.0000 0.0000 x1

Record-wise formation energy without anion corrections values, in eV per formula unit: 1.60, 5.05, 11.41, 5.38